First-principles (PBE) data for an optimized crystal structure of CaCdPt2, as listed in the Alexandria database.

Structure (extended XYZ):
```
4
Lattice="-6.646 5.844 2.949 -8.417 3.721 1.522 -7.511 3.268 4.463" Properties=species:S:1:pos:R:3 pbc="T T T"
Pt -11.292 6.419 4.469
Cd -16.930 9.625 6.700
Pt -22.569 12.830 8.932
Ca -5.643 3.208 2.233
```

Computed properties:
- total moment (μB per formula unit) = 0.00
- ΔE_f (meV per atom) = -256